Record 1
Fe6Co (PBE-GGA, relaxed); SG = R-3m, No. 166; energy above the most stable polymorph in this dataset = 0 meV/atom
1.0
-1.1209 5.2660 3.0919
-4.1122 4.6267 0.4792
-4.0126 2.6064 3.9564
Fe Co
6 1
Cartesian
-5.2776 7.1347 4.2968 Fe
-1.3144 1.7770 1.0702 Fe
-2.6455 3.5764 2.1539 Fe
-6.6002 8.9227 5.3736 Fe
-3.9681 5.3644 3.2307 Fe
-7.9313 10.7221 6.4573 Fe
0.0000 0.0000 0.0000 Co

=====

Record 2
CeSm3Sc3Se8 (PBE-GGA, relaxed); SG = R-3m, No. 166; formation energy without anion corrections = -1742 meV/atom
1.0
-4.4361 0.6178 -6.6522
6.5146 -4.6771 0.0552
-6.5624 -2.2160 4.1704
Sc Se Sm Ce
3 8 3 1
Cartesian
-5.4992 -0.7991 -1.2409 Sc
-0.0239 -3.4465 2.1128 Sc
-2.2419 -3.1376 -1.2133 Sc
-4.9065 -3.4216 -1.8797 Se
0.4226 -2.8537 -0.5469 Se
-1.6846 -5.8037 -1.6608 Se
-2.6491 -3.9171 1.4028 Se
-1.8347 -2.3581 -3.8294 Se
-2.7993 -0.4716 -0.7658 Se
0.3758 -6.0906 1.4289 Se
-4.8597 -0.1847 -3.8555 Se
3.2573 -2.3386 0.0276 Sm
0.0000 0.0000 0.0000 Sm
1.0393 -2.0297 -3.2985 Sm
-3.2812 -1.1080 2.0852 Ce

=====

Record 3
BaVGaGe2 (PBE-GGA, relaxed); SG = P4/mmm, No. 123; raw total energy = -4.987 eV/atom
1.0
4.8605 0.0000 0.0000
0.0000 4.8605 0.0000
0.0000 0.0000 4.9449
Ba V Ge Ga
1 1 2 1
Cartesian
2.4303 2.4303 2.4725 Ba
0.0000 0.0000 0.0000 V
2.4303 0.0000 0.0000 Ge
0.0000 2.4303 0.0000 Ge
0.0000 0.0000 2.4725 Ga

=====

Record 4
BaHf2MgNb (PBE-GGA, relaxed); SG = P4/mmm, No. 123; raw total energy = -4.901 eV/atom
1.0
-1.7404 2.4848 -4.2285
3.5623 -2.8141 -3.1199
-3.5676 -3.7203 -0.7178
Nb Ba Hf Mg
1 1 2 1
Cartesian
-0.8729 -2.0248 -4.0331 Nb
1.7811 -1.4070 -1.5599 Ba
-0.8702 1.2424 -2.1142 Hf
-1.7838 -1.8602 -0.3589 Hf
0.0000 0.0000 0.0000 Mg

=====

Record 5
OF (PBE-GGA, relaxed); SG = I4/m, No. 87; energy above the most stable polymorph in this dataset = 556 meV/atom; formation energy without anion corrections = 411 meV/atom
1.0
9.2855 0.0000 0.0000
0.0000 9.2855 0.0000
0.0000 0.0000 2.9542
O F
8 8
Cartesian
3.0551 6.6001 0.0000 O
1.9573 1.5876 1.4771 O
1.5876 7.3281 1.4771 O
7.3281 7.6978 1.4771 O
6.2304 2.6854 0.0000 O
2.6854 3.0551 0.0000 O
6.6001 6.2304 0.0000 O
7.6978 1.9573 1.4771 O
1.7317 4.0580 0.0000 F
7.5538 5.2274 0.0000 F
0.5847 6.3744 1.4771 F
8.7008 2.9110 1.4771 F
2.9110 0.5847 1.4771 F
6.3744 8.7008 1.4771 F
4.0580 7.5538 0.0000 F
5.2274 1.7317 0.0000 F

=====

Record 6
CdTcN3 (PBE-GGA, relaxed); SG = Pm-3m, No. 221; formation energy without anion corrections = 2838 meV/atom
1.0
-1.3180 0.5757 -3.7377
3.5615 -1.1422 -1.4318
-1.2718 -3.7951 -0.1361
N Tc Cd
3 1 1
Cartesian
-0.6590 0.2879 -1.8688 N
1.7807 -0.5711 -0.7159 N
-0.6359 -1.8975 -0.0680 N
0.4859 -2.1808 -2.6528 Tc
0.0000 0.0000 0.0000 Cd

=====

Record 7
Cs2AgIrN (PBE-GGA, relaxed); SG = P4/mmm, No. 123; formation energy without anion corrections = 108 meV/atom
1.0
6.7335 0.0000 0.0000
0.0000 6.7335 0.0000
0.0000 0.0000 3.7029
Cs N Ir Ag
2 1 1 1
Cartesian
0.0000 3.3667 0.0000 Cs
3.3667 0.0000 0.0000 Cs
0.0000 0.0000 0.0000 N
0.0000 0.0000 1.8514 Ir
3.3667 3.3667 1.8514 Ag

=====

Record 8
Li2Sn3Pd4 (PBE-GGA, relaxed); SG = P-1, No. 2; energy above the most stable polymorph in this dataset = 0 meV/atom
1.0
-3.5486 -1.7536 1.2242
0.3173 -2.8230 3.9909
-0.6072 5.8142 6.3436
Pd Sn Li
4 3 2
Cartesian
0.0165 -0.8260 5.9637 Pd
-3.8549 2.0636 5.5949 Pd
-2.6690 2.1542 9.2254 Pd
-1.1693 -0.9166 2.3333 Pd
-2.4790 0.3351 7.2281 Sn
-1.3594 0.9025 4.3305 Sn
0.0000 0.0000 0.0000 Sn
-2.3124 -1.7988 4.7904 Li
-1.5259 3.0364 6.7683 Li